The following is a PBE+U calculation of PuCrGeO6 after structural relaxation, from Alexandria.

abc: 5.2108 5.2108 8.7670
angles: 90.00 90.00 120.00
Element x y z (fractional)
1 Pu 0.3333 0.6667 0.2500
2 Pu 0.6667 0.3333 0.7500
3 Cr 0.0000 0.0000 0.0000
4 Cr 0.0000 0.0000 0.5000
5 Ge 0.3333 0.6667 0.7500
6 Ge 0.6667 0.3333 0.2500
7 O 0.0305 0.3497 0.6276
8 O 0.0305 0.6807 0.8724
9 O 0.3193 0.3497 0.8724
10 O 0.3193 0.9695 0.6276
11 O 0.3497 0.0305 0.1276
12 O 0.3497 0.3193 0.3724
13 O 0.6503 0.6807 0.6276
14 O 0.6503 0.9695 0.8724
15 O 0.6807 0.0305 0.3724
16 O 0.6807 0.6503 0.1276
17 O 0.9695 0.3193 0.1276
18 O 0.9695 0.6503 0.3724

Output
For the total magnetic moment, the calculation gives 0.67 μB per atom. As for the density of states at the Fermi level: 13.002 states/eV/cell. As for the space group: P-31c, No. 163. The raw total energy is -0.604 Ry/atom.